# LaSc2Tl2 | the Alexandria database | GGA-PBE | optimized geometry
# Excess energy over the best structure of this formula in the dataset ... 3.4 meV/atom
# Calculated density ... 7.809 g/cm3
# Density of states at the Fermi level ... 7.75 states/eV per cell
# DFT total energy ... -47.1 eV per cell
data_LaSc2Tl2
_chemical_formula_sum 'La2 Sc4 Tl4'
_cell_length_a 8.9188
_cell_length_b 8.9188
_cell_length_c 3.4089
_cell_angle_alpha 90.00
_cell_angle_beta 90.00
_cell_angle_gamma 90.00
_symmetry_space_group_name_H-M 'P 4/m b m'
_symmetry_Int_Tables_number 127
_symmetry_space_group_name_Hall '-P 4 2ab'
loop_
_atom_site_label
_atom_site_fract_x
_atom_site_fract_y
_atom_site_fract_z
La1 0.0000 0.0000 0.0000
Sc1 0.1378 0.3622 0.5000
Tl1 0.1618 0.6618 0.0000


# ThPa2Pd9 | the Alexandria database | GGA-PBE | optimized geometry
# Calculated density ... 12.425 g/cm3
# Density of states at the Fermi level ... 13.72 states/eV per cell
# DFT total energy ... -82.0 eV per cell
data_ThPa2Pd9
_chemical_formula_sum 'Th1 Pa2 Pd9'
_cell_length_a 4.1913
_cell_length_b 4.1913
_cell_length_c 12.5671
_cell_angle_alpha 90.00
_cell_angle_beta 90.00
_cell_angle_gamma 90.00
_symmetry_space_group_name_H-M 'P 4/m m m'
_symmetry_Int_Tables_number 123
_symmetry_space_group_name_Hall '-P 4 2'
loop_
_atom_site_label
_atom_site_fract_x
_atom_site_fract_y
_atom_site_fract_z
Th1 0.0000 0.0000 0.0000
Pa1 0.0000 0.0000 0.3355
Pd1 0.0000 0.5000 0.1689
Pd2 0.0000 0.5000 0.5000
Pd3 0.5000 0.5000 0.0000
Pd4 0.5000 0.5000 0.3335